This record from Alexandria via LeMat-Bulk describes a geometry-optimized IrPd3Pb structure. The functional is PBE-GGA.

Cell lengths 4.958, 4.958, 4.958 Å; angles 90.00, 90.00, 90.00 degrees
Last column: magnetic moment on the atom in μB.
Atoms (fractional coordinates):
Pb 0.000 0.000 0.000  -0.03
Pd 0.500 0.000 0.000  -0.02
Pd 0.000 0.500 0.000  -0.02
Pd 0.000 0.000 0.500  0.03
Ir 0.500 0.500 0.500  1.47

Values from the calculation:
- SG: Pm-3m (221)
- Energy of formation: 1545 meV/atom
- Final energy: -20.4 eV per cell
- E above lowest polymorph: 0.708 eV/atom